# 1
Compound: KCo4AsP2
Source: OQMD
Functional: PBE
Structure: relaxed

The space group is R-3m (No. 166, hexagonal axes) and the conventional cell measures 3.7137, 3.7137 and 32.3797 Å, with angles of 90.00, 90.00 and 120.00 degrees. The asymmetric unit holds K at (0.0000, 0.0000, 0.0000), Co at (0.0000, 0.0000, 0.1917), Co at (0.0000, 0.0000, 0.4246), As at (0.0000, 0.0000, 0.5000) and P at (0.0000, 0.0000, 0.2576).

The calculation puts the total energy at -47.62 eV per formula unit.

***

# 2
Compound: LaCo2AsN
Source: OQMD
Functional: PBE
Structure: relaxed

The space group is Cmcm (No. 63) and the conventional cell measures 3.775, 11.071 and 6.934 Å, with angles of 90.00, 90.00 and 90.00 degrees. The asymmetric unit holds La at (0.000, 0.044, 0.250), Co at (0.000, 0.336, 0.053), As at (0.000, 0.229, 0.750) and N at (0.000, 0.500, 0.000).

The calculation puts the total energy at -35.78 eV per formula unit.

***

# 3
Compound: LaCoNiAs2
Source: OQMD
Functional: PBE
Structure: relaxed

The space group is P4/nmm (No. 129, origin choice 2) and the conventional cell measures 4.226, 4.226 and 9.485 Å, with angles of 90.00, 90.00 and 90.00 degrees. The asymmetric unit holds La at (0.250, 0.250, 0.249), Co at (0.250, 0.250, 0.614), Ni at (0.250, 0.750, 0.000), As at (0.250, 0.250, 0.866) and As at (0.250, 0.750, 0.500).

The value obtained for the excess energy over the best structure of this formula in the dataset is 0 meV per atom.

***

# 4
Compound: LaCoNiAs2
Source: OQMD
Functional: PBE
Structure: relaxed

The space group is P4/nmm (No. 129, origin choice 2) and the conventional cell measures 4.225, 4.225 and 9.551 Å, with angles of 90.00, 90.00 and 90.00 degrees. The asymmetric unit holds La at (0.250, 0.250, 0.247), Co at (0.250, 0.750, 0.000), Ni at (0.250, 0.250, 0.619), As at (0.250, 0.250, 0.874) and As at (0.250, 0.750, 0.500).

The value obtained for the excess energy over the best structure of this formula in the dataset is 20 meV per atom.

***

Calculated calculated volume in order - 16.114 14.491 16.937 17.046 A^3/atom
Calculated total magnetic moment in order - 0.001 0.312 0.000 0.144 μB/atom